1.
Entry from Alexandria: TaAs2Rh after structural relaxation (PBE).

As for the formation energy from the elements: -329 meV/atom. The calculation puts the total energy at -7.45 eV/atom. The volume is 66 Å³ per cell.

It has space group Pmm2 (No. 25), with a = 3.071 Å, b = 4.769 Å, c = 4.481 Å, α = 90.00°, β = 90.00° and γ = 90.00°. The distinct sites, in fractional coordinates, are Ta at (0.000, 0.000, 0.000), As at (0.000, 0.500, 0.756), As at (0.500, 0.000, 0.480) and Rh at (0.500, 0.500, 0.225).



2.
Entry from Alexandria: TaAs2Rh after structural relaxation (PBE).

As for the formation energy from the elements: 122 meV/atom. The calculation puts the total energy at -7.00 eV/atom. The volume is 363 Å³ per cell.

It has space group I-42d (No. 122), with a = 5.757 Å, b = 5.757 Å, c = 10.957 Å, α = 90.00°, β = 90.00° and γ = 90.00°. The distinct sites, in fractional coordinates, are Ta at (0.000, 0.000, 0.000), As at (0.234, 0.250, 0.625) and Rh at (0.000, 0.000, 0.500).